Version w
First-principles (GGA-PBE) data for a relaxed K2SrMn crystal, as listed in Alexandria.

DOS(E_F), states/eV per cell: 5.10
Symmetry: Fm-3m
Size of the total moment, μB/f.u.: 4.198
Density, g/cm3: 1.938

```
K2SrMn
1.0
0.0000 4.5562 4.5562
4.5562 0.0000 4.5562
4.5562 4.5562 0.0000
K Sr Mn
2 1 1
Cartesian
2.2781 2.2781 2.2781
6.8344 6.8344 6.8344
0.0000 0.0000 0.0000
4.5562 4.5562 4.5562
```

Version x
First-principles (GGA-PBE) data for a relaxed K2SrMn crystal, as listed in Alexandria.

DOS(E_F), states/eV per cell: 3.42
Symmetry: I4/mmm
Size of the total moment, μB/f.u.: 4.371
Density, g/cm3: 2.014

```
K2SrMn
1.0
-2.6136 2.6136 6.6619
2.6136 -2.6136 6.6619
2.6136 2.6136 -6.6619
K Sr Mn
2 1 1
Cartesian
2.6136 0.0000 3.3310
0.0000 2.6136 3.3310
0.0000 0.0000 0.0000
0.0000 0.0000 6.6619
```

Version y
First-principles (GGA-PBE) data for a relaxed K2SrMn crystal, as listed in Alexandria.

DOS(E_F), states/eV per cell: 4.43
Symmetry: P4mm
Size of the total moment, μB/f.u.: 3.860
Density, g/cm3: 1.889

```
K2SrMn
1.0
4.1465 0.0000 0.0000
0.0000 4.1465 0.0000
0.0000 0.0000 11.2843
K Sr Mn
2 1 1
Cartesian
0.0000 0.0000 0.0000
2.0733 2.0733 3.7849
2.0733 2.0733 7.8445
0.0000 0.0000 6.1639
```

The most stable arrangement is version y, and the next structure is 135 meV per atom less stable.

Version w
First-principles (GGA-PBE) data for a relaxed K2SrMn crystal, as listed in Alexandria.

DOS(E_F), states/eV per cell: 2.80
Symmetry: P4/mmm
Size of the total moment, μB/f.u.: 4.303
Density, g/cm3: 2.022

```
K2SrMn
1.0
5.2403 0.0000 0.0000
0.0000 5.2403 0.0000
0.0000 0.0000 6.6028
K Sr Mn
2 1 1
Cartesian
0.0000 2.6202 0.0000
2.6202 0.0000 0.0000
0.0000 0.0000 3.3014
2.6202 2.6202 3.3014
```

Version x
First-principles (GGA-PBE) data for a relaxed K2SrMn crystal, as listed in Alexandria.

DOS(E_F), states/eV per cell: 4.58
Symmetry: P2/m
Size of the total moment, μB/f.u.: 4.230
Density, g/cm3: 2.003

```
K2SrMn
1.0
4.1639 0.0000 0.0000
0.0000 6.8861 0.0000
-0.5931 0.0000 6.3835
K Sr Mn
2 1 1
Cartesian
0.7404 0.0000 1.7173
2.8305 0.0000 4.6662
2.0820 3.4430 0.0000
-0.2965 3.4430 3.1917
```

Version y
First-principles (GGA-PBE) data for a relaxed K2SrMn crystal, as listed in Alexandria.

DOS(E_F), states/eV per cell: 4.76
Symmetry: P4/mmm
Size of the total moment, μB/f.u.: 4.454
Density, g/cm3: 1.883

```
K2SrMn
1.0
4.0422 0.0000 0.0000
0.0000 4.0422 0.0000
0.0000 0.0000 11.9147
K Sr Mn
2 1 1
Cartesian
0.0000 0.0000 2.3908
0.0000 0.0000 9.5239
2.0211 2.0211 5.9573
2.0211 2.0211 0.0000
```

The most stable arrangement is version w, and the next structure is 39 meV per atom less stable.

Version w
First-principles (GGA-PBE) data for a relaxed KSrMn crystal, as listed in Alexandria.

DOS(E_F), states/eV per cell: 3.66
Symmetry: Fmm2
Size of the total moment, μB/f.u.: 3.822
Density, g/cm3: 2.378

```
KSrMn
1.0
0.0000 2.8529 7.8045
2.8490 0.0000 7.8045
2.8490 2.8529 0.0000
K Sr Mn
1 1 1
Cartesian
0.0000 0.0000 0.0000
2.8490 2.8529 11.4147
2.8490 2.8529 5.3858
```

Version x
First-principles (GGA-PBE) data for a relaxed KSrMn crystal, as listed in Alexandria.

DOS(E_F), states/eV per cell: 4.34
Symmetry: F-43m
Size of the total moment, μB/f.u.: 4.264
Density, g/cm3: 2.152

```
KSrMn
1.0
0.0000 4.1230 4.1230
4.1230 0.0000 4.1230
4.1230 4.1230 0.0000
K Sr Mn
1 1 1
Cartesian
0.0000 0.0000 0.0000
4.1230 4.1230 4.1230
2.0615 2.0615 2.0615
```

Version y
First-principles (GGA-PBE) data for a relaxed KSrMn crystal, as listed in Alexandria.

DOS(E_F), states/eV per cell: 3.86
Symmetry: P3m1
Size of the total moment, μB/f.u.: 4.025
Density, g/cm3: 2.335

```
KSrMn
1.0
4.0662 0.0000 0.0000
-2.0331 3.5214 0.0000
0.0000 0.0000 9.0221
K Sr Mn
1 1 1
Cartesian
0.0000 0.0000 0.0000
0.0000 2.3476 5.0900
2.0331 1.1738 2.7488
```

The most stable arrangement is version w, and the next structure is 91 meV per atom less stable.

Version w
First-principles (GGA-PBE) data for a relaxed KTa2Mn crystal, as listed in Alexandria.

DOS(E_F), states/eV per cell: 5.07
Symmetry: Cmm2
Size of the total moment, μB/f.u.: 3.259
Density, g/cm3: 8.825

```
KTa2Mn
1.0
1.7355 -2.3120 0.0000
1.7355 2.3120 0.0000
0.0000 0.0000 10.6902
K Ta Mn
1 2 1
Cartesian
0.0000 0.0000 0.0000
0.0000 0.0000 5.5631
1.7355 0.0000 3.3356
1.7355 0.0000 7.5975
```

Version x
First-principles (GGA-PBE) data for a relaxed KTa2Mn crystal, as listed in Alexandria.

DOS(E_F), states/eV per cell: 14.68
Symmetry: I4_1/amd
Size of the total moment, μB/f.u.: 0.000
Density, g/cm3: 6.366

```
KTa2Mn
1.0
-2.8550 2.8550 7.2945
2.8550 -2.8550 7.2945
2.8550 2.8550 -7.2945
K Ta Mn
2 4 2
Cartesian
2.8550 1.4275 1.8236
0.0000 1.4275 5.4709
0.0000 0.0000 0.0000
1.4275 1.4275 -3.6472
1.4275 -1.4275 3.6472
0.0000 2.8550 0.0000
2.8550 -1.4275 5.4709
0.0000 4.2826 1.8236
```

The most stable arrangement is version w, and the next structure is 1075 meV per atom less stable.

Version w
First-principles (GGA-PBE) data for a relaxed KTa2Mn crystal, as listed in Alexandria.

DOS(E_F), states/eV per cell: 4.28
Symmetry: P4/mmm
Size of the total moment, μB/f.u.: 0.371
Density, g/cm3: 10.578

```
KTa2Mn
1.0
4.7104 0.0000 0.0000
0.0000 4.7104 0.0000
0.0000 0.0000 3.2259
K Ta Mn
1 2 1
Cartesian
0.0000 0.0000 0.0000
0.0000 2.3552 1.6129
2.3552 0.0000 1.6129
2.3552 2.3552 0.0000
```

Version x
First-principles (GGA-PBE) data for a relaxed KTa2Mn crystal, as listed in Alexandria.

DOS(E_F), states/eV per cell: 5.11
Symmetry: R-3m
Size of the total moment, μB/f.u.: 0.000
Density, g/cm3: 9.099

```
KTa2Mn
1.0
1.5303 0.8835 10.2574
-1.5303 0.8835 10.2574
0.0000 -1.7670 10.2574
K Ta Mn
1 2 1
Cartesian
0.0000 0.0000 0.0000
0.0000 0.0000 6.9401
0.0000 0.0000 23.8320
0.0000 0.0000 15.3861
```

The most stable arrangement is version x, and the next structure is 918 meV per atom less stable.

Version w
First-principles (GGA-PBE) data for a relaxed KTa3Mn crystal, as listed in Alexandria.

DOS(E_F), states/eV per cell: 3.70
Symmetry: Pm-3m
Size of the total moment, μB/f.u.: 0.000
Density, g/cm3: 9.744

```
KTa3Mn
1.0
4.7701 0.0000 0.0000
0.0000 4.7701 0.0000
0.0000 0.0000 4.7701
K Ta Mn
1 3 1
Cartesian
0.0000 0.0000 0.0000
0.0000 2.3850 2.3850
2.3850 0.0000 2.3850
2.3850 2.3850 0.0000
2.3850 2.3850 2.3850
```

Version x
First-principles (GGA-PBE) data for a relaxed KTa3Mn crystal, as listed in Alexandria.

DOS(E_F), states/eV per cell: 9.29
Symmetry: Pm-3m
Size of the total moment, μB/f.u.: 0.000
Density, g/cm3: 11.249

```
KTa3Mn
1.0
4.5471 0.0000 0.0000
0.0000 4.5471 0.0000
0.0000 0.0000 4.5471
K Ta Mn
1 3 1
Cartesian
0.0000 0.0000 0.0000
0.0000 0.0000 2.2736
0.0000 2.2736 0.0000
2.2736 0.0000 0.0000
2.2736 2.2736 2.2736
```

The most stable arrangement is version w, and the next structure is 2056 meV per atom less stable.

Version w
First-principles (GGA-PBE) data for a relaxed KMnTc2 crystal, as listed in Alexandria.

DOS(E_F), states/eV per cell: 3.49
Symmetry: Cmmm
Size of the total moment, μB/f.u.: 3.687
Density, g/cm3: 6.899

```
KMnTc2
1.0
2.6922 -5.0726 0.0000
2.6922 5.0726 0.0000
0.0000 0.0000 2.5559
K Mn Tc
1 1 2
Cartesian
0.0000 0.0000 0.0000
2.6922 0.0000 0.0000
1.3461 2.5363 1.2780
1.3461 -2.5363 1.2780
```

Version x
First-principles (GGA-PBE) data for a relaxed KMnTc2 crystal, as listed in Alexandria.

DOS(E_F), states/eV per cell: 3.63
Symmetry: C2/m
Size of the total moment, μB/f.u.: 0.666
Density, g/cm3: 5.362

```
KMnTc2
1.0
4.6063 -1.4610 0.0000
4.6063 1.4610 0.0000
-1.0584 0.0000 6.6740
K Mn Tc
1 1 2
Cartesian
0.0000 0.0000 0.0000
4.0771 0.0000 3.3370
1.2698 0.0000 4.1810
6.8845 0.0000 2.4930
```

Version y
First-principles (GGA-PBE) data for a relaxed KMnTc2 crystal, as listed in Alexandria.

DOS(E_F), states/eV per cell: 4.55
Symmetry: P2/m
Size of the total moment, μB/f.u.: 0.002
Density, g/cm3: 6.163

```
KMnTc2
1.0
2.6804 0.0000 0.0000
0.0000 3.4804 0.0000
-0.1593 0.0000 8.3769
K Mn Tc
1 1 2
Cartesian
0.0000 0.0000 0.0000
-0.0796 0.0000 4.1885
1.2657 1.7402 2.9344
1.2554 1.7402 5.4425
```

The most stable arrangement is version y, and the next structure is 145 meV per atom less stable.

Version w
First-principles (GGA-PBE) data for a relaxed K2MnTc crystal, as listed in Alexandria.

DOS(E_F), states/eV per cell: 3.60
Symmetry: Pmmm
Size of the total moment, μB/f.u.: 2.439
Density, g/cm3: 4.115

```
K2MnTc
1.0
3.3080 0.0000 0.0000
0.0000 4.7317 0.0000
0.0000 0.0000 5.9583
K Mn Tc
2 1 1
Cartesian
0.0000 0.0000 0.0000
1.6540 2.3659 0.0000
0.0000 2.3659 2.9791
1.6540 0.0000 2.9791
```

Version x
First-principles (GGA-PBE) data for a relaxed K2MnTc crystal, as listed in Alexandria.

DOS(E_F), states/eV per cell: 3.96
Symmetry: P4mm
Size of the total moment, μB/f.u.: 2.265
Density, g/cm3: 3.295

```
K2MnTc
1.0
3.3462 0.0000 0.0000
0.0000 3.3462 0.0000
0.0000 0.0000 10.4031
K Mn Tc
2 1 1
Cartesian
0.0000 0.0000 0.0000
1.6731 1.6731 4.2495
0.0000 0.0000 6.9582
1.6731 1.6731 7.6653
```

The most stable arrangement is version x, and the next structure is 607 meV per atom less stable.